The following is a DFT calculation (meta-GGA SCAN) of a crystal of TaMo relaxed with PBEsol.

Geometry as CIF:
```
data_TaMo
_chemical_formula_sum 'Ta8 Mo8'
_space_group_name_H-M_alt 'I m m 2'
_space_group_IT_number 44
_cell_length_a 3.191
_cell_length_b 4.549
_cell_length_c 17.983
_cell_angle_alpha 90.00
_cell_angle_beta 90.00
_cell_angle_gamma 90.00
loop_
_space_group_symop_operation_xyz
'x,y,z'
'-x,-y,z'
'-x,y,z'
'x,-y,z'
'x+1/2,y+1/2,z+1/2'
'-x+1/2,-y+1/2,z+1/2'
'-x+1/2,y+1/2,z+1/2'
'x+1/2,-y+1/2,z+1/2'
loop_
_atom_site_label
_atom_site_type_symbol
_atom_site_fract_x
_atom_site_fract_y
_atom_site_fract_z
Ta1 Ta 0.000 0.000 0.000
Ta2 Ta 0.000 0.000 0.246
Ta3 Ta 0.000 0.000 0.742
Ta4 Ta 0.000 0.500 0.371
Mo1 Mo 0.000 0.000 0.497
Mo2 Mo 0.000 0.500 0.119
Mo3 Mo 0.000 0.500 0.621
Mo4 Mo 0.000 0.500 0.874
```

Calculated values
Electronic total energy = -50.861 eV per atom
Magnetization = 0.000 μB per atom
Calculated formation energy = -127 meV per atom